1.
A plane-wave DFT calculation with GGA-PBE was carried out for a geometry-optimized LaNd6HoTm2 structure.

Values from the calculation:
Total magnetization, μB/atom: 0.000
Crystal system: monoclinic

Cell: 8.929 8.929 9.667 Å, 93.36 93.36 116.23°
Positions (direct):
La  0.035  0.965  0.750
La  0.965  0.035  0.250
Nd  0.005  0.555  0.682
Nd  0.112  0.759  0.057
Nd  0.241  0.888  0.443
Nd  0.296  0.518  0.884
Nd  0.445  0.995  0.818
Nd  0.482  0.704  0.616
Nd  0.518  0.296  0.384
Nd  0.555  0.005  0.182
Nd  0.704  0.482  0.116
Nd  0.759  0.112  0.557
Nd  0.888  0.241  0.943
Nd  0.995  0.445  0.318
Ho  0.410  0.590  0.250
Ho  0.590  0.410  0.750
Tm  0.204  0.300  0.552
Tm  0.300  0.204  0.052
Tm  0.700  0.796  0.948
Tm  0.796  0.700  0.448


2.
A plane-wave DFT calculation with GGA-PBE was carried out for a geometry-optimized KDyPb2I8 structure.

Values from the calculation:
Total magnetization, μB/atom: 0.000
Uncorrected formation energy, eV/atom: -0.99
Crystal system: triclinic

Cell: 7.349 7.798 9.722 Å, 89.98 89.95 88.97°
Positions (direct):
K  0.000  0.000  0.000
Dy  0.000  0.000  0.500
Pb  0.500  0.500  0.251
Pb  0.500  0.500  0.749
I  0.235  0.325  0.500
I  0.244  0.846  0.721
I  0.244  0.847  0.279
I  0.268  0.362  0.000
I  0.732  0.638  0.000
I  0.756  0.153  0.721
I  0.756  0.154  0.279
I  0.765  0.675  0.500


3.
A plane-wave DFT calculation with GGA-PBE was carried out for a geometry-optimized Zr2GaCu3 structure.

Values from the calculation:
Total magnetization, μB/atom: 0.000
Excess energy over the best structure of this formula in the dataset, kcal/mol of atoms: 3.24
Crystal system: orthorhombic

Cell: 3.254 4.084 15.314 Å, 90.00 90.00 90.00°
Positions (direct):
Zr  0.000  0.000  0.000
Zr  0.000  0.500  0.252
Zr  0.500  0.000  0.752
Zr  0.500  0.500  0.500
Ga  0.000  0.000  0.588
Ga  0.500  0.500  0.088
Cu  0.000  0.000  0.429
Cu  0.000  0.500  0.667
Cu  0.000  0.500  0.822
Cu  0.500  0.000  0.167
Cu  0.500  0.000  0.322
Cu  0.500  0.500  0.929


Record order is preserved below.
Fermi-level density of states: 14.4 0.0 4.6 states/eV/f.u.
Record order is preserved below.
Calculated total energy: -4.592 -3.120 -5.533 eV per atom